(1)
Below is a relaxed structure of Zr3PdSe6, with properties calculated at the PBE level.

abc: 7.8024 7.8024 7.8024
angles: 87.13 87.13 87.13
Last column: nearest neighbours and their distance in Å.
Atoms (fractional coordinates):
Se 0.8189 0.4719 0.5916  1 Pd 2.62, 3 Zr 2.65-2.91
Se 0.5281 0.4084 0.1811  1 Pd 2.62, 3 Zr 2.65-2.91
Zr 0.7866 0.4103 0.9279  6 Se 2.65-2.91
Se 0.1811 0.5281 0.4084  1 Pd 2.62, 3 Zr 2.65-2.91
Se 0.5916 0.8189 0.4719  1 Pd 2.62, 3 Zr 2.65-2.91
Pd 0.0000 0.0000 0.0000  6 Se 2.74
Zr 0.2134 0.5897 0.0721  6 Se 2.65-2.91
Se 0.4719 0.5916 0.8189  1 Pd 2.62, 3 Zr 2.65-2.91
Se 0.1278 0.3141 0.9071  3 Zr 2.69-2.73, 1 Pd 2.74
Se 0.4084 0.1811 0.5281  1 Pd 2.62, 3 Zr 2.65-2.91
Pd 0.5000 0.5000 0.5000  6 Se 2.62
Zr 0.4103 0.9279 0.7866  6 Se 2.65-2.91
Se 0.6859 0.0929 0.8722  3 Zr 2.69-2.73, 1 Pd 2.74
Se 0.9071 0.1278 0.3141  3 Zr 2.69-2.73, 1 Pd 2.74
Se 0.0929 0.8722 0.6859  3 Zr 2.69-2.73, 1 Pd 2.74
Se 0.8722 0.6859 0.0929  3 Zr 2.69-2.73, 1 Pd 2.74
Se 0.3141 0.9071 0.1278  3 Zr 2.69-2.73, 1 Pd 2.74
Zr 0.0721 0.2134 0.5897  6 Se 2.65-2.91
Zr 0.9279 0.7866 0.4103  6 Se 2.65-2.91
Zr 0.5897 0.0721 0.2134  6 Se 2.65-2.91

Calculated values
For the magnetic moment, the calculation gives 0.00 μB per cell. For the formation energy from raw total energies, the calculation gives -0.997 eV/atom.

=====

(2)
Below is a relaxed structure of CaYGa2, with properties calculated at the PBE level.

abc: 3.6175 3.6175 7.2850
angles: 90.00 90.00 90.00
Last column: nearest neighbours and their distance in Å.
Atoms (fractional coordinates):
Ga 0.0000 0.0000 0.2423  4 Y 3.11, 4 Ca 3.17
Ga 0.0000 0.0000 0.7577  4 Y 3.11, 4 Ca 3.17
Ca 0.5000 0.5000 0.5000  8 Ga 3.17
Y 0.5000 0.5000 0.0000  8 Ga 3.11

Calculated values
For the magnetic moment, the calculation gives 0.00 μB per cell. The calculation puts the formation energy at -527 meV/atom.

=====

(3)
Below is a relaxed structure of TbAl2Pd8, with properties calculated at the PBE level.

abc: 4.6675 6.7633 6.7633
angles: 113.63 100.78 100.78
Last column: nearest neighbours and their distance in Å.
Atoms (fractional coordinates):
Al 0.0000 0.6872 0.3128  8 Pd 2.47-2.57
Pd 0.1045 0.0795 0.3259  2 Al 2.52-2.57, 2 Pd 2.79
Pd 0.3094 0.5985 0.5985  2 Al 2.53, 2 Pd 2.66-2.76, 1 Tb 2.80
Pd 0.5000 0.7577 0.2423  2 Al 2.47, 1 Tb 2.74
Tb 0.5000 0.0000 0.0000  8 Pd 2.74-3.04
Al 0.0000 0.3128 0.6872  8 Pd 2.47-2.57
Pd 0.8955 0.6741 0.9205  2 Al 2.52-2.57, 2 Pd 2.79
Pd 0.5000 0.2423 0.7577  2 Al 2.47, 1 Tb 2.74
Pd 0.6906 0.4015 0.4015  2 Al 2.53, 2 Pd 2.66-2.76, 1 Tb 2.80
Pd 0.1045 0.3259 0.0795  2 Al 2.52-2.57, 2 Pd 2.79
Pd 0.8955 0.9205 0.6741  2 Al 2.52-2.57, 2 Pd 2.79

Calculated values
For the magnetic moment, the calculation gives 0.00 μB per cell. The calculation puts the formation energy at -633 meV/atom.

=====

(4)
Below is a relaxed structure of PmDy2Tm2, with properties calculated at the PBE level.

abc: 5.0072 6.1307 11.1965
angles: 89.99 90.05 114.11
Last column: nearest neighbours and their distance in Å.
Atoms (fractional coordinates):
Tm 0.9497 0.8995 0.6496  7 Dy 3.53-3.55, 2 Tm 3.53-3.54, 3 Pm 3.54-3.55
Tm 0.1494 0.2989 0.0502  4 Tm 3.53-3.55, 5 Dy 3.53-3.54, 3 Pm 3.53-3.54
Dy 0.6491 0.2982 0.5504  4 Dy 3.52-3.56, 5 Tm 3.53-3.54, 3 Pm 3.54-3.55
Pm 0.2503 0.5007 0.7506  6 Tm 3.53-3.55, 6 Dy 3.54-3.55
Pm 0.7497 0.4993 0.2494  6 Tm 3.53-3.55, 6 Dy 3.54-3.55
Tm 0.0503 0.1005 0.3504  7 Dy 3.53-3.55, 2 Tm 3.53-3.54, 3 Pm 3.54-3.55
Tm 0.8506 0.7011 0.9498  4 Tm 3.53-3.55, 5 Dy 3.53-3.54, 3 Pm 3.53-3.54
Dy 0.4497 0.8995 0.1491  2 Dy 3.52-3.54, 7 Tm 3.53-3.55, 3 Pm 3.54
Dy 0.5503 0.1005 0.8509  2 Dy 3.52-3.54, 7 Tm 3.53-3.55, 3 Pm 3.54
Dy 0.3509 0.7018 0.4496  4 Dy 3.52-3.56, 5 Tm 3.53-3.54, 3 Pm 3.54-3.55

Calculated values
For the magnetic moment, the calculation gives 0.00 μB per cell. The value obtained for the energy above the most stable polymorph in this dataset is 0.0 meV/atom. The calculation puts the formation energy at 21 meV/atom.

=====

(5)
Below is a relaxed structure of TmPaNiS4, with properties calculated at the PBE level.

abc: 6.2386 5.9731 7.4568
angles: 90.00 106.22 90.00
Last column: nearest neighbours and their distance in Å.
Atoms (fractional coordinates):
S 0.5608 0.2500 0.3796  1 Ni 2.16
S 0.4371 0.7500 0.1179  1 Ni 2.27
Ni 0.7586 0.2500 0.6677  4 S 2.16-2.27
Tm 0.7557 0.7500 0.9437  6 S 2.66-2.82
Pa 0.7598 0.7500 0.4431  6 S 2.68-2.81
Pa 0.2402 0.2500 0.5569  6 S 2.68-2.81
S 0.0148 0.9898 0.7544  1 Ni 2.19
S 0.0148 0.5102 0.7544  1 Ni 2.19
S 0.5629 0.2500 0.8821  1 Ni 2.27
Ni 0.2414 0.7500 0.3323  4 S 2.16-2.27
S 0.9852 0.4898 0.2456  1 Ni 2.19
S 0.9852 0.0102 0.2456  1 Ni 2.19
S 0.4392 0.7500 0.6204  1 Ni 2.16
Tm 0.2443 0.2500 0.0563  6 S 2.66-2.82

Calculated values
For the magnetic moment, the calculation gives 0.00 μB per cell. For the formation energy from raw total energies, the calculation gives -1.446 eV/atom.

=====

(6)
Below is a relaxed structure of GaBiPd2, with properties calculated at the PBE level.

abc: 3.2164 3.2164 7.1370
angles: 90.00 90.00 90.00
Last column: nearest neighbours and their distance in Å.
Atoms (fractional coordinates):
Bi 0.5000 0.5000 0.5000  8 Pd 3.13, 4 Bi 3.22
Pd 0.0000 0.0000 0.8021  4 Ga 2.68, 1 Pd 2.82
Pd 0.0000 0.0000 0.1979  4 Ga 2.68, 1 Pd 2.82
Ga 0.5000 0.5000 0.0000  8 Pd 2.68

Calculated values
For the magnetic moment, the calculation gives 0.00 μB per cell. The calculation puts the formation energy at -392 meV/atom.

=====

(7)
Below is a relaxed structure of Pm2AgRh2, with properties calculated at the PBE level.

abc: 4.4630 5.5406 5.5410
angles: 65.59 66.25 66.25
Last column: nearest neighbours and their distance in Å.
Atoms (fractional coordinates):
Rh 0.0000 0.2198 0.2802  1 Rh 2.64, 2 Ag 2.79, 2 Pm 2.92
Ag 0.5000 0.5000 0.0000  4 Rh 2.79
Pm 0.2914 0.2086 0.7086  6 Rh 2.92-3.10, 2 Ag 3.26
Rh 0.0000 0.7802 0.7198  1 Rh 2.64, 2 Ag 2.79, 2 Pm 2.92
Pm 0.7086 0.7914 0.2914  6 Rh 2.92-3.10, 2 Ag 3.26

Calculated values
For the magnetic moment, the calculation gives 0.00 μB per cell. The value obtained for the energy above the most stable polymorph in this dataset is 0.0 meV/atom. The calculation puts the formation energy at -583 meV/atom.